ZnHgPb2: optimized geometry, PBE.

Summary:
Symmetry ... No. 99
Electronic total energy ... -8.66 eV/f.u.
Energy above the lowest structure with this stoichiometry ... 0.0012 eV per atom

a = 3.619 Å, b = 3.619 Å, c = 7.970 Å
α = 90.00°, β = 90.00°, γ = 90.00°
Fractional positions:
1 Hg 0.500 0.500 0.711
2 Pb 0.000 0.000 0.971
3 Pb 0.500 0.500 0.290
4 Zn 0.000 0.000 0.529

ZnHgPb2: optimized geometry, PBE.

Summary:
Symmetry ... No. 35
Electronic total energy ... -8.66 eV/f.u.
Energy above the lowest structure with this stoichiometry ... 0.0011 eV per atom

a = 3.469 Å, b = 3.469 Å, c = 8.738 Å
α = 90.00°, β = 90.00°, γ = 97.03°
Fractional positions:
1 Zn 0.000 0.000 0.523
2 Hg 0.500 0.500 0.711
3 Pb 0.500 0.500 0.284
4 Pb 0.000 0.000 0.981

ZnHg2Pb: optimized geometry, PBE.

Summary:
Symmetry ... No. 35
Electronic total energy ... -5.13 eV/f.u.

a = 3.404 Å, b = 3.404 Å, c = 9.748 Å
α = 90.00°, β = 90.00°, γ = 114.87°
Fractional positions:
1 Hg 0.500 0.500 0.237
2 Hg 0.000 0.000 0.980
3 Zn 0.500 0.500 0.764
4 Pb 0.000 0.000 0.519

ZnHgPb2: optimized geometry, PBE.

Summary:
Symmetry ... No. 122
Electronic total energy ... -8.36 eV/f.u.
Energy above the lowest structure with this stoichiometry ... 0.0768 eV per atom

a = 8.341 Å, b = 8.341 Å, c = 6.705 Å
α = 51.54°, β = 51.54°, γ = 90.00°
Fractional positions:
1 Pb 0.593 0.125 0.250
2 Pb 0.875 0.843 0.750
3 Pb 0.157 0.625 0.250
4 Pb 0.375 0.407 0.750
5 Zn 0.500 0.500 0.000
6 Zn 0.250 0.750 0.500
7 Hg 0.750 0.250 0.500
8 Hg 0.000 0.000 0.000

ZnHg2Pb: optimized geometry, PBE.

Summary:
Symmetry ... No. 12
Electronic total energy ... -5.11 eV/f.u.

a = 5.572 Å, b = 5.948 Å, c = 3.679 Å
α = 77.15°, β = 79.33°, γ = 114.27°
Fractional positions:
1 Hg 0.000 0.000 0.000
2 Hg 0.500 0.000 0.500
3 Pb 0.000 0.500 0.500
4 Zn 0.500 0.500 0.000

ZnHg3Pb12: optimized geometry, PBE.

Summary:
Symmetry ... No. 123
Electronic total energy ... -46.10 eV/f.u.

a = 4.818 Å, b = 4.818 Å, c = 20.313 Å
α = 90.00°, β = 90.00°, γ = 90.00°
Fractional positions:
1 Pb 0.500 0.000 0.374
2 Pb 0.500 0.000 0.626
3 Pb 0.000 0.500 0.374
4 Pb 0.000 0.500 0.626
5 Pb 0.000 0.500 0.120
6 Pb 0.500 0.500 0.247
7 Pb 0.500 0.500 0.000
8 Pb 0.500 0.000 0.880
9 Pb 0.500 0.000 0.120
10 Pb 0.000 0.500 0.880
11 Pb 0.500 0.500 0.753
12 Pb 0.500 0.500 0.500
13 Hg 0.000 0.000 0.248
14 Hg 0.000 0.000 0.500
15 Hg 0.000 0.000 0.752
16 Zn 0.000 0.000 0.000

Zn2Hg2Pb: optimized geometry, PBE.

Summary:
Symmetry ... No. 139
Electronic total energy ... -6.31 eV/f.u.
Energy above the lowest structure with this stoichiometry ... 0.0044 eV per atom

a = 4.059 Å, b = 4.059 Å, c = 7.615 Å
α = 74.54°, β = 74.54°, γ = 90.00°
Fractional positions:
1 Zn 0.750 0.250 0.500
2 Zn 0.250 0.750 0.500
3 Hg 0.613 0.613 0.774
4 Hg 0.387 0.387 0.226
5 Pb 0.000 0.000 0.000

ZnHgPb: optimized geometry, PBE.

Summary:
Symmetry ... No. 42
Electronic total energy ... -4.88 eV/f.u.

a = 7.660 Å, b = 7.396 Å, c = 3.347 Å
α = 81.62°, β = 72.77°, γ = 25.61°
Fractional positions:
1 Hg 0.015 0.015 0.985
2 Pb 0.325 0.325 0.675
3 Zn 0.660 0.660 0.340

ZnHgPb3: optimized geometry, PBE.

Summary:
Symmetry ... No. 221
Electronic total energy ... -9.76 eV/f.u.
Energy above the lowest structure with this stoichiometry ... 0.2849 eV per atom

a = 5.754 Å, b = 5.754 Å, c = 5.754 Å
α = 90.00°, β = 90.00°, γ = 90.00°
Fractional positions:
1 Pb 0.000 0.000 0.500
2 Pb 0.500 0.000 0.000
3 Pb 0.000 0.500 0.000
4 Zn 0.500 0.500 0.500
5 Hg 0.000 0.000 0.000

ZnHgPb3: optimized geometry, PBE.

Summary:
Symmetry ... No. 221
Electronic total energy ... -11.18 eV/f.u.
Energy above the lowest structure with this stoichiometry ... 0.0000 eV per atom

a = 5.441 Å, b = 5.441 Å, c = 5.441 Å
α = 90.00°, β = 90.00°, γ = 90.00°
Fractional positions:
1 Pb 0.000 0.500 0.000
2 Pb 0.000 0.000 0.500
3 Pb 0.500 0.000 0.000
4 Hg 0.500 0.500 0.500
5 Zn 0.000 0.000 0.000

ZnHg2Pb: optimized geometry, PBE.

Summary:
Symmetry ... No. 65
Electronic total energy ... -5.18 eV/f.u.

a = 3.412 Å, b = 3.412 Å, c = 9.734 Å
α = 90.00°, β = 90.00°, γ = 116.17°
Fractional positions:
1 Pb 0.500 0.500 0.250
2 Hg 0.000 0.000 0.530
3 Hg 0.000 0.000 0.970
4 Zn 0.500 0.500 0.750

Zn2HgPb2: optimized geometry, PBE.

Summary:
Symmetry ... No. 139
Electronic total energy ... -9.31 eV/f.u.
Energy above the lowest structure with this stoichiometry ... 0.1017 eV per atom

a = 4.850 Å, b = 4.850 Å, c = 6.730 Å
α = 68.88°, β = 68.88°, γ = 90.00°
Fractional positions:
1 Pb 0.750 0.250 0.500
2 Pb 0.250 0.750 0.500
3 Zn 0.396 0.396 0.208
4 Zn 0.604 0.604 0.792
5 Hg 0.000 0.000 0.000

Results for energy of formation from the pure elements: 0.08, 0.08, 0.11, 0.16, 0.12, 0.04, 0.11, 0.14, 0.59, 0.30, 0.10, 0.19 (in eV/atom, following the order of the records).